DFT (PBE-GGA) results for a relaxed CoReGeIr2 crystal.

Results
- total DFT energy (no corrections) (eV/cell) = -33.7
- formation energy (eV/atom) = 1.6465
- DOS at the Fermi energy (states/eV/f.u.) = 6.81

Unit cell a=4.754 b=4.754 c=4.703 alpha=90.00 beta=90.00 gamma=90.00
Positions (direct):
Co 0.000 0.000 0.000
Re 0.500 0.500 0.500
Ge 0.500 0.500 0.000
Ir 0.000 0.500 0.500
Ir 0.500 0.000 0.500